BaWNO2: relaxed, PBE with a Hubbard U.

Values from the calculation:
* energy: -7.153 eV/atom
* symmetry: P4/mmm, No. 123
* Fermi-level density of states: 1.34 states/eV/f.u.

Cell: 4.128 4.128 4.071 Å, 90.00 90.00 90.00°
Fractional positions:
Ba  0.000  0.000  0.000
W  0.500  0.500  0.500
N  0.500  0.500  0.000
O  0.000  0.500  0.500
O  0.500  0.000  0.500